Record 1
SnPdO3 at its PBEsol-relaxed geometry, computed with meta-GGA SCAN.

It has space group Pm-3m (No. 221), with a = 3.941 Å, b = 3.941 Å, c = 3.941 Å, α = 90.00°, β = 90.00° and γ = 90.00°. The inequivalent atoms are Sn at (0.000, 0.000, 0.000), Pd at (0.500, 0.500, 0.500) and O at (0.000, 0.500, 0.500).

As for the energy: -17.959 eV/atom. The calculation puts the density at 7.41 g/cm³. Its formation energy without anion corrections is -0.481 eV per atom. Its spin magnetization is 0.00 μB per atom.

---

Record 2
LaAl2Cd at its PBEsol-relaxed geometry, computed with meta-GGA SCAN.

It has space group Cmmm (No. 65), with a = 6.465 Å, b = 9.346 Å, c = 3.030 Å, α = 90.00°, β = 90.00° and γ = 90.00°. The inequivalent atoms are La at (0.000, 0.000, 0.000), Al at (0.250, 0.250, 0.500) and Cd at (0.000, 0.500, 0.000).

As for the energy: -22.300 eV/atom. The calculation puts the density at 5.54 g/cm³. Its formation energy from the elements is -0.045 eV/atom. Its spin magnetization is 0.04 μB per atom.

---

Record 3
TiBeHg3 at its PBEsol-relaxed geometry, computed with meta-GGA SCAN.

It has space group Pm-3m (No. 221), with a = 5.257 Å, b = 5.257 Å, c = 5.257 Å, α = 90.00°, β = 90.00° and γ = 90.00°. The inequivalent atoms are Ti at (0.000, 0.000, 0.000), Be at (0.500, 0.500, 0.500) and Hg at (0.000, 0.000, 0.500).

As for the energy: -43.983 eV/atom. The calculation puts the density at 7.53 g/cm³. Its formation energy from the elements is 0.993 eV/atom. Its spin magnetization is 0.55 μB per atom.

---

Record 4
SrAlTc2 at its PBEsol-relaxed geometry, computed with meta-GGA SCAN.

It has space group P4mm (No. 99), with a = 3.077 Å, b = 3.077 Å, c = 7.907 Å, α = 90.00°, β = 90.00° and γ = 90.00°. The inequivalent atoms are Sr at (0.000, 0.000, 0.000), Al at (0.500, 0.500, 0.678), Tc at (0.000, 0.000, 0.474) and Tc at (0.500, 0.500, 0.310).

As for the energy: -24.952 eV/atom. The calculation puts the density at 6.89 g/cm³. Its formation energy from the elements is 0.084 eV/atom. Its spin magnetization is 0.01 μB per atom.

---

Record 5
SrCr2W at its PBEsol-relaxed geometry, computed with meta-GGA SCAN.

It has space group P2/m (No. 10), with a = 2.854 Å, b = 4.057 Å, c = 6.603 Å, α = 90.00°, β = 94.16° and γ = 90.00°. The inequivalent atoms are Sr at (0.000, 0.000, 0.000), Cr at (0.133, 0.500, 0.644) and W at (0.500, 0.000, 0.500).

As for the energy: -31.379 eV/atom. The calculation puts the density at 8.18 g/cm³. Its formation energy from the elements is 0.804 eV/atom. Its spin magnetization is 0.00 μB per atom.

---

Record 6
TePbBrN2 at its PBEsol-relaxed geometry, computed with meta-GGA SCAN.

It has space group P4/mmm (No. 123), with a = 4.348 Å, b = 4.348 Å, c = 6.361 Å, α = 90.00°, β = 90.00° and γ = 90.00°. The inequivalent atoms are Te at (0.000, 0.000, 0.000), Pb at (0.000, 0.000, 0.500), Br at (0.500, 0.500, 0.000) and N at (0.000, 0.500, 0.500).

As for the energy: -28.687 eV/atom. The calculation puts the density at 6.11 g/cm³. Its formation energy without anion corrections is 1.528 eV per atom. Its spin magnetization is 0.62 μB per atom.

---

Record 7
AlHgP3 at its PBEsol-relaxed geometry, computed with meta-GGA SCAN.

It has space group Pm-3m (No. 221), with a = 4.901 Å, b = 4.901 Å, c = 4.901 Å, α = 90.00°, β = 90.00° and γ = 90.00°. The inequivalent atoms are Al at (0.000, 0.000, 0.000), Hg at (0.500, 0.500, 0.500) and P at (0.000, 0.500, 0.500).

As for the energy: -19.894 eV/atom. The calculation puts the density at 4.52 g/cm³. Its formation energy from the elements is 1.529 eV/atom. Its spin magnetization is 0.00 μB per atom.

---

Record 8
InTcPt2 at its PBEsol-relaxed geometry, computed with meta-GGA SCAN.

It has space group Cmmm (No. 65), with a = 5.568 Å, b = 8.047 Å, c = 2.785 Å, α = 90.00°, β = 90.00° and γ = 90.00°. The inequivalent atoms are In at (0.000, 0.000, 0.000), Tc at (0.000, 0.500, 0.000) and Pt at (0.250, 0.250, 0.500).

As for the energy: -52.355 eV/atom. The calculation puts the density at 16.05 g/cm³. Its formation energy from the elements is -0.147 eV/atom. Its spin magnetization is 0.17 μB per atom.

---

Record 9
Cd2AgPb at its PBEsol-relaxed geometry, computed with meta-GGA SCAN.

It has space group R-3m (No. 166, hexagonal axes), with a = 3.2064 Å, b = 3.2064 Å, c = 29.6722 Å, α = 90.00°, β = 90.00° and γ = 120.00°. The inequivalent atoms are Cd at (0.0000, 0.0000, 0.2405), Ag at (0.0000, 0.0000, 0.5000) and Pb at (0.0000, 0.0000, 0.0000).

As for the energy: -41.917 eV/atom. The calculation puts the density at 10.18 g/cm³. Its formation energy from the elements is 0.077 eV/atom. Its spin magnetization is 0.00 μB per atom.

---

Record 10
SrTlRe2 at its PBEsol-relaxed geometry, computed with meta-GGA SCAN.

It has space group R3m (No. 160, hexagonal axes), with a = 3.0134 Å, b = 3.0134 Å, c = 30.0189 Å, α = 90.00°, β = 90.00° and γ = 120.00°. The inequivalent atoms are Sr at (0.0000, 0.0000, 0.0000), Tl at (0.0000, 0.0000, 0.7647), Re at (0.0000, 0.0000, 0.2441) and Re at (0.0000, 0.0000, 0.5138).

As for the energy: -58.365 eV/atom. The calculation puts the density at 14.02 g/cm³. Its formation energy from the elements is 0.842 eV/atom. Its spin magnetization is 0.00 μB per atom.

---

Record 11
CrCdMo at its PBEsol-relaxed geometry, computed with meta-GGA SCAN.

It has space group F-43m (No. 216), with a = 6.120 Å, b = 6.120 Å, c = 6.120 Å, α = 90.00°, β = 90.00° and γ = 90.00°. The inequivalent atoms are Cr at (0.000, 0.000, 0.000), Cd at (0.000, 0.000, 0.500) and Mo at (0.250, 0.250, 0.750).

As for the energy: -26.817 eV/atom. The calculation puts the density at 7.54 g/cm³. Its formation energy from the elements is 1.078 eV/atom. Its spin magnetization is 0.27 μB per atom.

---

Record 12
PrV2IO9 at its PBEsol-relaxed geometry, computed with meta-GGA SCAN.

It has space group Pbcm (No. 57), with a = 6.995 Å, b = 14.494 Å, c = 7.204 Å, α = 90.00°, β = 90.00° and γ = 90.00°. The inequivalent atoms are Pr at (0.146, 0.046, 0.250), V at (0.181, 0.729, 0.750), V at (0.463, 0.250, 0.000), I at (0.297, 0.058, 0.750), O at (0.011, 0.693, 0.250), O at (0.078, 0.626, 0.750), O at (0.173, 0.510, 0.071), O at (0.261, 0.750, 0.000), O at (0.328, 0.158, 0.043), O at (0.471, 0.721, 0.750) and O at (0.472, 0.504, 0.750).

As for the energy: -15.437 eV/atom. The calculation puts the density at 4.67 g/cm³. Its formation energy without anion corrections is -2.273 eV per atom. Its spin magnetization is 0.00 μB per atom.

---

Record 13
Ni2PCl at its PBEsol-relaxed geometry, computed with meta-GGA SCAN.

It has space group I-4m2 (No. 119), with a = 3.190 Å, b = 3.190 Å, c = 11.335 Å, α = 90.00°, β = 90.00° and γ = 90.00°. The inequivalent atoms are Ni at (0.000, 0.000, 0.000), Ni at (0.000, 0.500, 0.250), P at (0.000, 0.000, 0.500) and Cl at (0.000, 0.500, 0.750).

As for the energy: -12.385 eV/atom. The calculation puts the density at 5.29 g/cm³. Its formation energy without anion corrections is 0.296 eV per atom. Its spin magnetization is 0.00 μB per atom.

---

Record 14
FeTc5 at its PBEsol-relaxed geometry, computed with meta-GGA SCAN.

It has space group Cm (No. 8), with a = 9.747 Å, b = 2.686 Å, c = 6.291 Å, α = 90.00°, β = 104.19° and γ = 90.00°. The inequivalent atoms are Fe at (0.000, 0.000, 0.000), Tc at (0.055, 0.000, 0.614), Tc at (0.164, 0.500, 0.325), Tc at (0.219, 0.500, 0.946), Tc at (0.339, 0.000, 0.672) and Tc at (0.395, 0.000, 0.267).

As for the energy: -32.145 eV/atom. The calculation puts the density at 11.35 g/cm³. Its formation energy from the elements is 0.094 eV/atom. Its spin magnetization is 0.00 μB per atom.

---

Record 15
CdSnPbBr2 at its PBEsol-relaxed geometry, computed with meta-GGA SCAN.

It has space group P4/mmm (No. 123), with a = 5.237 Å, b = 5.237 Å, c = 5.750 Å, α = 90.00°, β = 90.00° and γ = 90.00°. The inequivalent atoms are Cd at (0.000, 0.000, 0.000), Sn at (0.000, 0.000, 0.500), Pb at (0.500, 0.500, 0.500) and Br at (0.000, 0.500, 0.000).

As for the energy: -36.222 eV/atom. The calculation puts the density at 6.30 g/cm³. Its formation energy without anion corrections is -0.015 eV per atom. Its spin magnetization is 0.00 μB per atom.

---

Record 16
Fe2OsAu at its PBEsol-relaxed geometry, computed with meta-GGA SCAN.

It has space group Pmmm (No. 47), with a = 2.677 Å, b = 3.639 Å, c = 5.444 Å, α = 90.00°, β = 90.00° and γ = 90.00°. The inequivalent atoms are Fe at (0.000, 0.000, 0.219), Os at (0.500, 0.500, 0.000) and Au at (0.500, 0.500, 0.500).

As for the energy: -44.165 eV/atom. The calculation puts the density at 15.62 g/cm³. Its formation energy from the elements is 0.159 eV/atom. Its spin magnetization is 1.31 μB per atom.

---

Record 17
YTiP2O at its PBEsol-relaxed geometry, computed with meta-GGA SCAN.

It has space group P4/mmm (No. 123), with a = 5.138 Å, b = 5.138 Å, c = 4.021 Å, α = 90.00°, β = 90.00° and γ = 90.00°. The inequivalent atoms are Y at (0.000, 0.000, 0.000), Ti at (0.500, 0.500, 0.500), P at (0.000, 0.500, 0.000) and O at (0.000, 0.000, 0.500).

As for the energy: -14.363 eV/atom. The calculation puts the density at 3.36 g/cm³. Its formation energy without anion corrections is -0.182 eV per atom. Its spin magnetization is 0.02 μB per atom.

---

Record 18
CoSbRu at its PBEsol-relaxed geometry, computed with meta-GGA SCAN.

It has space group P3m1 (No. 156), with a = 2.9806 Å, b = 2.9806 Å, c = 5.9212 Å, α = 90.00°, β = 90.00° and γ = 120.00°. The inequivalent atoms are Co at (0.0000, 0.0000, 0.0000), Sb at (0.3333, 0.6667, 0.3314) and Ru at (0.6667, 0.3333, 0.6822).

As for the energy: -29.258 eV/atom. The calculation puts the density at 10.27 g/cm³. Its formation energy without anion corrections is 0.539 eV per atom. Its spin magnetization is 0.58 μB per atom.

---

Record 19
SrTcAu2 at its PBEsol-relaxed geometry, computed with meta-GGA SCAN.

It has space group F-43m (No. 216), with a = 6.804 Å, b = 6.804 Å, c = 6.804 Å, α = 90.00°, β = 90.00° and γ = 90.00°. The inequivalent atoms are Sr at (0.000, 0.000, 0.000), Tc at (0.250, 0.250, 0.750), Au at (0.000, 0.000, 0.500) and Au at (0.250, 0.250, 0.250).

As for the energy: -48.618 eV/atom. The calculation puts the density at 12.22 g/cm³. Its formation energy from the elements is 0.294 eV/atom. Its spin magnetization is 0.76 μB per atom.

---

Record 20
Li3BiPb at its PBEsol-relaxed geometry, computed with meta-GGA SCAN.

It has space group Pm-3m (No. 221), with a = 5.125 Å, b = 5.125 Å, c = 5.125 Å, α = 90.00°, β = 90.00° and γ = 90.00°. The inequivalent atoms are Li at (0.000, 0.000, 0.500), Bi at (0.000, 0.000, 0.000) and Pb at (0.500, 0.500, 0.500).

As for the energy: -32.339 eV/atom. The calculation puts the density at 5.39 g/cm³. Its formation energy from the elements is -0.033 eV/atom. Its spin magnetization is 0.00 μB per atom.

---

Record 21
NbAuF3 at its PBEsol-relaxed geometry, computed with meta-GGA SCAN.

It has space group Pm-3m (No. 221), with a = 4.376 Å, b = 4.376 Å, c = 4.376 Å, α = 90.00°, β = 90.00° and γ = 90.00°. The inequivalent atoms are Nb at (0.000, 0.000, 0.000), Au at (0.500, 0.500, 0.500) and F at (0.000, 0.500, 0.500).

As for the energy: -22.850 eV/atom. The calculation puts the density at 6.87 g/cm³. Its formation energy without anion corrections is -0.269 eV per atom. Its spin magnetization is 0.70 μB per atom.

---

Record 22
CsPS2O at its PBEsol-relaxed geometry, computed with meta-GGA SCAN.

It has space group P4/mmm (No. 123), with a = 6.093 Å, b = 6.093 Å, c = 3.283 Å, α = 90.00°, β = 90.00° and γ = 90.00°. The inequivalent atoms are Cs at (0.000, 0.000, 0.000), P at (0.500, 0.500, 0.000), S at (0.000, 0.500, 0.500) and O at (0.500, 0.500, 0.500).

As for the energy: -14.470 eV/atom. The calculation puts the density at 3.32 g/cm³. Its formation energy without anion corrections is 0.269 eV per atom. Its spin magnetization is 0.36 μB per atom.

---

Record 23
CaNb3Ru at its PBEsol-relaxed geometry, computed with meta-GGA SCAN.

It has space group Pm-3m (No. 221), with a = 4.551 Å, b = 4.551 Å, c = 4.551 Å, α = 90.00°, β = 90.00° and γ = 90.00°. The inequivalent atoms are Ca at (0.000, 0.000, 0.000), Nb at (0.000, 0.000, 0.500) and Ru at (0.500, 0.500, 0.500).

As for the energy: -26.184 eV/atom. The calculation puts the density at 7.40 g/cm³. Its formation energy from the elements is 2.592 eV/atom. Its spin magnetization is 0.00 μB per atom.

---

Record 24
CaCd2Cl at its PBEsol-relaxed geometry, computed with meta-GGA SCAN.

It has space group Cm (No. 8), with a = 9.676 Å, b = 3.758 Å, c = 5.926 Å, α = 90.00°, β = 111.43° and γ = 90.00°. The inequivalent atoms are Ca at (0.000, 0.000, 0.000), Cd at (0.235, 0.000, 0.583), Cd at (0.496, 0.000, 0.489) and Cl at (0.218, 0.500, 0.044).

As for the energy: -20.437 eV/atom. The calculation puts the density at 4.97 g/cm³. Its formation energy without anion corrections is -0.819 eV per atom. Its spin magnetization is 0.00 μB per atom.

---

Record 25
LaY2Re at its PBEsol-relaxed geometry, computed with meta-GGA SCAN.

It has space group Fm-3m (No. 225), with a = 7.225 Å, b = 7.225 Å, c = 7.225 Å, α = 90.00°, β = 90.00° and γ = 90.00°. The inequivalent atoms are La at (0.000, 0.000, 0.000), Y at (0.250, 0.250, 0.250) and Re at (0.000, 0.000, 0.500).

As for the energy: -42.121 eV/atom. The calculation puts the density at 8.86 g/cm³. Its formation energy from the elements is 0.351 eV/atom. Its spin magnetization is 0.00 μB per atom.

---

Record 26
CaHfO2 at its PBEsol-relaxed geometry, computed with meta-GGA SCAN.

It has space group I-42d (No. 122), with a = 5.082 Å, b = 5.082 Å, c = 10.221 Å, α = 90.00°, β = 90.00° and γ = 90.00°. The inequivalent atoms are Ca at (0.000, 0.000, 0.000), Hf at (0.000, 0.000, 0.500) and O at (0.193, 0.250, 0.625).

As for the energy: -23.844 eV/atom. The calculation puts the density at 6.31 g/cm³. Its formation energy without anion corrections is -2.644 eV per atom. Its spin magnetization is 0.46 μB per atom.

---

Record 27
HfSe2 at its PBEsol-relaxed geometry, computed with meta-GGA SCAN.

It has space group P-3m1 (No. 164), with a = 3.6986 Å, b = 3.6986 Å, c = 6.1744 Å, α = 90.00°, β = 90.00° and γ = 120.00°. The inequivalent atoms are Hf at (0.0000, 0.0000, 0.0000) and Se at (0.3333, 0.6667, 0.2553).

As for the energy: -35.756 eV/atom. The calculation puts the density at 7.64 g/cm³. Its formation energy without anion corrections is -1.479 eV per atom. Its spin magnetization is 0.00 μB per atom.